No. 1
Below is crystalline HoZr2Sc4 at its relaxed geometry, with properties calculated at the PBE level.

a b c (Å): 3.263 3.263 32.525
angles (deg): 90.00 90.00 90.00
Space group I4/mmm (No. 139)
Symmetry-distinct sites (fractional):
Ho  0.000  0.000  0.000
Zr  0.000  0.000  0.145
Sc  0.000  0.000  0.288
Sc  0.000  0.000  0.422

Values from the calculation:
Excess energy over the best structure of this formula in the dataset: 0.000 eV per formula unit
Size of the total moment: 0.0000 μB/atom
N(E_F): 10.4 states/eV/f.u.
E_form: 2.5 kJ per mole of atoms

No. 2
Below is crystalline HoZr3Sc7 at its relaxed geometry, with properties calculated at the PBE level.

a b c (Å): 6.4650 6.4650 7.7909
angles (deg): 90.00 90.00 120.00
Space group P3m1 (No. 156)
Symmetry-distinct sites (fractional):
Ho  0.0000  0.0000  0.0000
Zr  0.1683  0.3366  0.6589
Sc  0.0021  0.5011  0.9852
Sc  0.3333  0.6667  0.3283
Sc  0.3337  0.1669  0.3420

Values from the calculation:
Size of the total moment: 0.0001 μB/atom
N(E_F): 15.8 states/eV/f.u.
E_form: 23.7 kJ per mole of atoms

No. 3
Below is crystalline HoZrSc6 at its relaxed geometry, with properties calculated at the PBE level.

a b c (Å): 6.6687 6.6687 5.1867
angles (deg): 90.00 90.00 120.00
Space group P-6m2 (No. 187)
Symmetry-distinct sites (fractional):
Ho  0.0000  0.0000  0.0000
Zr  0.3333  0.6667  0.5000
Sc  0.0060  0.5030  0.0000
Sc  0.3394  0.1697  0.5000

Values from the calculation:
Excess energy over the best structure of this formula in the dataset: 0.000 eV per formula unit
Size of the total moment: 0.0000 μB/atom
N(E_F): 16.5 states/eV/f.u.
E_form: 1.3 kJ per mole of atoms

No. 4
Below is crystalline Ho4Se3 at its relaxed geometry, with properties calculated at the PBE level.

a b c (Å): 3.9365 3.9365 39.6574
angles (deg): 90.00 90.00 120.00
Space group R-3m (No. 166, hexagonal axes)
Symmetry-distinct sites (fractional):
Ho  0.0000  0.0000  0.1211
Ho  0.0000  0.0000  0.3687
Se  0.0000  0.0000  0.2538
Se  0.0000  0.0000  0.5000

Values from the calculation:
Size of the total moment: 0.0000 μB/atom
Electronic total energy: -5.560 eV/atom
N(E_F): 3.0 states/eV/f.u.

No. 5
Below is crystalline Ho2Se5 at its relaxed geometry, with properties calculated at the PBE level.

a b c (Å): 3.974 42.401 3.974
angles (deg): 90.00 90.00 90.00
Space group Cmcm (No. 63)
Symmetry-distinct sites (fractional):
Ho  0.000  0.104  0.250
Ho  0.000  0.306  0.250
Se  0.000  0.050  0.750
Se  0.000  0.176  0.250
Se  0.000  0.250  0.750
Se  0.000  0.375  0.250
Se  0.000  0.450  0.750

Values from the calculation:
Size of the total moment: 0.0000 μB/atom
Electronic total energy: -5.139 eV/atom
N(E_F): 1.6 states/eV/f.u.

No. 6
Below is crystalline Ho2Se3 at its relaxed geometry, with properties calculated at the PBE level.

a b c (Å): 11.115 4.010 10.965
angles (deg): 90.00 90.00 90.00
Space group Pnma (No. 62)
Symmetry-distinct sites (fractional):
Ho  0.013  0.250  0.188
Ho  0.194  0.250  0.501
Se  0.044  0.750  0.375
Se  0.119  0.250  0.944
Se  0.226  0.750  0.695

Values from the calculation:
Size of the total moment: 0.0000 μB/atom
Electronic total energy: -5.776 eV/atom

No. 7
Below is crystalline Ho3Se at its relaxed geometry, with properties calculated at the PBE level.

a b c (Å): 3.664 9.576 6.345
angles (deg): 90.00 90.00 90.00
Space group Imm2 (No. 44)
Symmetry-distinct sites (fractional):
Ho  0.000  0.000  0.000
Ho  0.000  0.195  0.569
Se  0.000  0.500  0.841

Values from the calculation:
Excess energy over the best structure of this formula in the dataset: 0.000 eV per formula unit
Size of the total moment: 0.1265 μB/atom
N(E_F): 4.1 states/eV/f.u.

No. 8
Below is crystalline Ho4Se at its relaxed geometry, with properties calculated at the PBE level.

a b c (Å): 5.410 5.410 5.410
angles (deg): 90.00 90.00 90.00
Space group Pm-3m (No. 221)
Symmetry-distinct sites (fractional):
Ho  0.000  0.000  0.000
Ho  0.000  0.500  0.500
Se  0.500  0.500  0.500

Values from the calculation:
Size of the total moment: 0.1164 μB/atom
Electronic total energy: -4.781 eV/atom
N(E_F): 9.7 states/eV/f.u.

No. 9
Below is crystalline HoSe4 at its relaxed geometry, with properties calculated at the PBE level.

a b c (Å): 5.462 5.462 5.462
angles (deg): 90.00 90.00 90.00
Space group Pm-3m (No. 221)
Symmetry-distinct sites (fractional):
Ho  0.000  0.000  0.000
Se  0.000  0.000  0.500
Se  0.500  0.500  0.500

Values from the calculation:
Size of the total moment: 0.4849 μB/atom
Electronic total energy: -3.706 eV/atom
N(E_F): 7.6 states/eV/f.u.

No. 10
Below is crystalline Ho6Se5 at its relaxed geometry, with properties calculated at the PBE level.

a b c (Å): 6.972 11.996 6.947
angles (deg): 90.00 109.69 90.00
Space group C2/m (No. 12)
Symmetry-distinct sites (fractional):
Ho  0.242  0.164  0.243
Ho  0.243  0.000  0.746
Se  0.000  0.174  0.500
Se  0.000  0.336  0.000
Se  0.000  0.500  0.500

Values from the calculation:
Size of the total moment: 0.0000 μB/atom
Electronic total energy: -5.628 eV/atom
N(E_F): 5.9 states/eV/f.u.

No. 11
Below is crystalline Ho2Se3 at its relaxed geometry, with properties calculated at the PBE level.

a b c (Å): 8.216 11.505 24.451
angles (deg): 90.00 90.00 90.00
Space group Fddd (No. 70, origin choice 2)
Symmetry-distinct sites (fractional):
Ho  0.125  0.125  0.041
Ho  0.125  0.125  0.378
Se  0.117  0.372  0.206
Se  0.117  0.375  0.375

Values from the calculation:
Size of the total moment: 0.0000 μB/atom
Electronic total energy: -5.810 eV/atom

No. 12
Below is crystalline Ho3Se at its relaxed geometry, with properties calculated at the PBE level.

a b c (Å): 3.588 3.630 9.202
angles (deg): 90.00 90.00 90.00
Space group Pmm2 (No. 25)
Symmetry-distinct sites (fractional):
Ho  0.000  0.000  0.000
Ho  0.000  0.500  0.399
Ho  0.500  0.500  0.736
Se  0.500  0.000  0.254

Values from the calculation:
Excess energy over the best structure of this formula in the dataset: 0.396 eV per formula unit
Size of the total moment: 0.2284 μB/atom
N(E_F): 5.1 states/eV/f.u.